This record from Alexandria via LeMat-Bulk describes a PBEsol-optimized structure of Tm3Sn. The functional is SCAN.

```
8
Lattice="6.599 0.000 0.000 -3.299 5.715 0.000 0.000 0.000 5.410" Properties=species:S:1:pos:R:3 pbc="T T T"
Tm 0.000 1.953 1.353
Tm -1.608 4.738 1.353
Tm 1.691 0.976 4.058
Tm 1.608 4.738 1.353
Tm 4.908 0.976 4.058
Tm 3.299 3.762 4.058
Sn 0.000 3.810 4.058
Sn 3.299 1.905 1.353
```

The value obtained for the formation enthalpy at 0 K is -0.446 eV/atom. As for the total energy: -48.30 eV/atom. As for the crystal system: hexagonal.

---

This record from Alexandria via LeMat-Bulk describes a PBEsol-optimized structure of CdCu2Br. The functional is SCAN.

```
4
Lattice="3.428 0.000 0.000 0.000 3.794 0.000 0.000 0.000 5.718" Properties=species:S:1:pos:R:3 pbc="T T T"
Cd 0.000 0.000 0.000
Cu 0.000 1.897 2.859
Cu 1.714 1.897 0.000
Br 1.714 0.000 2.859
```

As for the total energy: -19.77 eV/atom. The calculation puts the uncorrected formation energy at 29 kJ/mol of atoms. For the relative energy among the computed polymorphs, the calculation gives 247 meV per atom. As for the crystal system: orthorhombic.

---

This record from Alexandria via LeMat-Bulk describes a PBEsol-optimized structure of ReGe2Au. The functional is SCAN.

```
4
Lattice="0.000 3.153 3.153 3.153 0.000 3.153 3.153 3.153 0.000" Properties=species:S:1:pos:R:3 pbc="T T T"
Re 0.000 0.000 0.000
Ge 1.576 1.576 1.576
Ge 4.729 4.729 4.729
Au 3.153 3.153 3.153
```

The value obtained for the formation enthalpy at 0 K is 0.635 eV/atom. As for the total energy: -43.97 eV/atom. As for the crystal system: cubic.

---

This record from Alexandria via LeMat-Bulk describes a PBEsol-optimized structure of NaSr2Tl. The functional is SCAN.

```
4
Lattice="0.000 4.116 4.116 4.116 0.000 4.116 4.116 4.116 0.000" Properties=species:S:1:pos:R:3 pbc="T T T"
Na 0.000 0.000 0.000
Sr 2.058 2.058 2.058
Sr 6.174 6.174 6.174
Tl 4.116 4.116 4.116
```

The value obtained for the formation enthalpy at 0 K is -0.338 eV/atom. As for the total energy: -30.62 eV/atom. As for the crystal system: cubic.

---

This record from Alexandria via LeMat-Bulk describes a PBEsol-optimized structure of SrNF2. The functional is SCAN.

```
8
Lattice="-2.706 2.706 6.595 2.706 -2.706 6.595 2.706 2.706 -6.595" Properties=species:S:1:pos:R:3 pbc="T T T"
Sr 0.000 0.000 0.000
Sr 0.000 2.706 3.298
N 2.706 0.000 3.298
N 0.000 0.000 6.595
F 4.059 0.852 -1.649
F 0.852 1.353 1.649
F -1.353 1.854 4.947
F 1.854 1.353 8.244
```

As for the total energy: -11.28 eV/atom. The calculation puts the uncorrected formation energy at -156 kJ/mol of atoms. As for the crystal system: tetragonal.

---

This record from Alexandria via LeMat-Bulk describes a PBEsol-optimized structure of InSiB3. The functional is SCAN.

```
5
Lattice="4.060 0.000 0.000 0.000 4.060 0.000 0.000 0.000 4.060" Properties=species:S:1:pos:R:3 pbc="T T T"
In 0.000 0.000 0.000
Si 2.030 2.030 2.030
B 0.000 2.030 2.030
B 2.030 0.000 2.030
B 2.030 2.030 0.000
```

As for the total energy: -11.66 eV/atom. The calculation puts the uncorrected formation energy at 143 kJ/mol of atoms. As for the crystal system: cubic.

---

This record from Alexandria via LeMat-Bulk describes a PBEsol-optimized structure of CrRh4. The functional is SCAN.

```
5
Lattice="-2.697 2.697 2.697 2.697 -2.697 2.697 2.697 2.697 -2.697" Properties=species:S:1:pos:R:3 pbc="T T T"
Cr 0.000 0.000 0.000
Rh 1.348 1.348 -1.348
Rh 1.348 -1.348 1.348
Rh -1.348 1.348 1.348
Rh 1.348 1.348 1.348
```

The value obtained for the formation enthalpy at 0 K is 0.779 eV/atom. As for the total energy: -29.92 eV/atom. For the relative energy among the computed polymorphs, the calculation gives 906 meV per atom. As for the crystal system: cubic.

---

This record from Alexandria via LeMat-Bulk describes a PBEsol-optimized structure of Tl2TcRh. The functional is SCAN.

```
4
Lattice="5.252 -1.474 0.000 5.252 1.474 0.000 -1.727 0.000 4.587" Properties=species:S:1:pos:R:3 pbc="T T T"
Tl 0.000 0.000 0.000
Tl 1.225 0.000 2.765
Tc 7.726 0.000 0.545
Rh 3.971 0.000 2.198
```

The value obtained for the formation enthalpy at 0 K is 0.488 eV/atom. As for the total energy: -52.90 eV/atom. For the relative energy among the computed polymorphs, the calculation gives 139 meV per atom. As for the crystal system: monoclinic.

---

This record from Alexandria via LeMat-Bulk describes a PBEsol-optimized structure of BaHgCl3. The functional is SCAN.

```
5
Lattice="5.377 0.000 0.000 0.000 5.377 0.000 0.000 0.000 5.377" Properties=species:S:1:pos:R:3 pbc="T T T"
Ba 0.000 0.000 0.000
Hg 2.689 2.689 2.689
Cl 0.000 2.689 2.689
Cl 2.689 0.000 2.689
Cl 2.689 2.689 0.000
```

As for the total energy: -27.75 eV/atom. The calculation puts the uncorrected formation energy at -137 kJ/mol of atoms. As for the crystal system: cubic.

---

This record from Alexandria via LeMat-Bulk describes a PBEsol-optimized structure of K5LiGe2O7. The functional is SCAN.

```
60
Lattice="6.220 0.000 0.000 0.000 15.813 0.000 -3.562 0.000 9.940" Properties=species:S:1:pos:R:3 pbc="T T T"
K -0.221 2.604 4.098
K -2.002 5.302 9.068
K -0.008 8.814 4.182
K -1.789 14.905 9.152
K 1.264 8.981 0.821
K -0.517 14.738 5.791
K -1.046 2.058 7.605
K 0.734 5.849 2.635
K 1.369 2.447 1.082
K -0.412 5.460 6.052
K 3.070 10.353 3.888
K 1.290 13.366 8.858
K 1.924 9.964 7.305
K 3.705 13.755 2.335
K 3.176 1.075 4.149
K 1.395 6.832 9.119
K 4.447 0.908 0.788
K 2.666 6.998 5.758
K 4.660 10.511 0.872
K 2.879 13.209 5.842
Li -0.886 11.390 6.011
Li 0.894 12.329 1.041
Li 1.764 3.483 8.898
Li 3.545 4.423 3.929
Ge -1.190 8.751 7.406
Ge 0.591 14.968 2.436
Ge -1.486 11.612 8.829
Ge 0.295 12.107 3.859
Ge 2.363 3.706 6.081
Ge 4.144 4.201 1.111
Ge 2.068 0.844 7.504
Ge 3.849 7.062 2.534
O -3.175 11.337 9.240
O -1.394 12.382 4.270
O -1.872 9.677 6.069
O -0.091 14.042 1.099
O -0.621 0.140 3.237
O -2.401 7.767 8.207
O 0.567 11.093 2.463
O -1.213 12.626 7.433
O -0.594 10.010 8.645
O 1.186 13.709 3.675
O 2.033 0.028 1.935
O 0.252 7.878 6.905
O 1.014 11.361 5.290
O 2.795 12.359 0.321
O -0.136 3.454 9.619
O 1.644 4.452 4.649
O 2.406 7.934 3.035
O 0.625 15.785 8.005
O 1.472 2.104 6.265
O 3.253 5.803 1.295
O 3.872 3.187 2.507
O 2.091 4.719 7.477
O 5.060 8.046 1.733
O 3.279 15.673 6.703
O 2.749 1.771 8.841
O 4.530 6.136 3.871
O 4.052 3.431 5.670
O 5.833 4.476 0.700
```

As for the total energy: -10.34 eV/atom. The calculation puts the uncorrected formation energy at -188 kJ/mol of atoms. As for the crystal system: monoclinic.

---

This record from Alexandria via LeMat-Bulk describes a PBEsol-optimized structure of MgCdHg2. The functional is SCAN.

```
4
Lattice="-1.746 2.398 5.162 1.746 -2.398 5.162 1.746 2.398 -5.162" Properties=species:S:1:pos:R:3 pbc="T T T"
Mg 0.000 0.000 0.000
Cd 1.746 0.000 2.569
Hg 0.000 0.000 5.254
Hg 0.000 2.398 2.751
```

The value obtained for the formation enthalpy at 0 K is -0.120 eV/atom. As for the total energy: -43.05 eV/atom. As for the crystal system: orthorhombic.

---

This record from Alexandria via LeMat-Bulk describes a PBEsol-optimized structure of RbReTc2As. The functional is SCAN.

```
5
Lattice="4.575 0.000 0.000 0.000 4.575 0.000 0.000 0.000 5.373" Properties=species:S:1:pos:R:3 pbc="T T T"
Rb 0.000 0.000 0.000
Re 2.288 2.288 0.000
Tc 0.000 2.288 2.687
Tc 2.288 0.000 2.687
As 0.000 0.000 2.687
```

The value obtained for the formation enthalpy at 0 K is 2.161 eV/atom. As for the total energy: -34.27 eV/atom. As for the crystal system: tetragonal.

---

The following theoretical density values (in g/cm3) correspond, in order, to the records above: 10.182, 7.132, 14.002, 4.793, 2.401, 4.350, 9.816, 14.256, 4.745, 3.123, 10.332, 8.011.